Material: CoBi2IrO6
Method: DFT, PBE with a Hubbard U
State: relaxed

Lattice parameters (Å, degrees): 5.461 5.799 9.396 90.00 124.35 90.00
Element x y z (fractional)
1 Co 0.000 0.000 0.000
2 Co 0.000 0.500 0.500
3 Bi 0.255 0.061 0.744
4 Bi 0.255 0.439 0.244
5 Bi 0.745 0.561 0.756
6 Bi 0.745 0.939 0.256
7 Ir 0.500 0.000 0.500
8 Ir 0.500 0.500 0.000
9 O 0.142 0.036 0.253
10 O 0.142 0.464 0.753
11 O 0.214 0.680 0.035
12 O 0.214 0.820 0.535
13 O 0.372 0.206 0.055
14 O 0.372 0.294 0.555
15 O 0.628 0.706 0.445
16 O 0.628 0.794 0.945
17 O 0.786 0.180 0.465
18 O 0.786 0.320 0.965
19 O 0.858 0.536 0.247
20 O 0.858 0.964 0.747

VASP energy in eV per formula unit: -61.690
Symmetry: P2_1/c